Material: SiRu2I
Method: DFT, PBE
State: relaxed

Geometry as CIF:
```
data_SiRu2I
_chemical_formula_sum 'Si4 Ru8 I4'
_symmetry_space_group_name_H-M 'I -4 2 d'
_symmetry_Int_Tables_number 122
_symmetry_space_group_name_Hall 'I -4 2bw'
_cell_length_a 5.404
_cell_length_b 5.404
_cell_length_c 11.940
_cell_angle_alpha 90.00
_cell_angle_beta 90.00
_cell_angle_gamma 90.00
loop_
_atom_site_label
_atom_site_type_symbol
_atom_site_fract_x
_atom_site_fract_y
_atom_site_fract_z
_atom_site_occupancy
Si1 Si 0.000 0.000 0.000 1
Ru1 Ru 0.201 0.250 0.125 1
I1 I 0.000 0.000 0.500 1
```

**Magnetic moment**: 0.0 μB per formula unit
**ΔE_f (raw)**: 0.495 eV per atom


Material: SiRuI2
Method: DFT, PBE
State: relaxed

Geometry as CIF:
```
data_SiRuI2
_chemical_formula_sum 'Si4 Ru4 I8'
_symmetry_space_group_name_H-M 'F m -3 m'
_symmetry_Int_Tables_number 225
_symmetry_space_group_name_Hall '-F 4 2 3'
_cell_length_a 7.126
_cell_length_b 7.126
_cell_length_c 7.126
_cell_angle_alpha 90.00
_cell_angle_beta 90.00
_cell_angle_gamma 90.00
loop_
_atom_site_label
_atom_site_type_symbol
_atom_site_fract_x
_atom_site_fract_y
_atom_site_fract_z
_atom_site_occupancy
Si1 Si 0.000 0.000 0.000 1
Ru1 Ru 0.000 0.000 0.500 1
I1 I 0.250 0.250 0.250 1
```

**Magnetic moment**: 2.1 μB per formula unit
**ΔE_f (raw)**: 1.002 eV per atom